First-principles (GGA-PBE) data for a relaxed ZrCuSi2 crystal, as listed in the Alexandria database.

Values from the calculation:
crystal system = tetragonal
raw formation energy = -0.465 eV per atom

abc: 3.750 3.750 17.845
angles: 90.00 90.00 90.00
Space group I4/mmm (No. 139)
Inequivalent atoms, fractional coordinates:
Zr: 0.000 0.000 0.115 x4
Cu: 0.000 0.500 0.250 x4
Si: 0.000 0.000 0.335 x4
Si: 0.000 0.500 0.000 x4

***

First-principles (GGA-PBE) data for a relaxed Zr2CuSi crystal, as listed in the Alexandria database.

Values from the calculation:
crystal system = tetragonal
raw formation energy = -0.197 eV per atom

abc: 3.718 3.718 5.479
angles: 90.00 90.00 90.00
Space group P4mm (No. 99)
Inequivalent atoms, fractional coordinates:
Zr: 0.000 0.000 0.000 x1
Zr: 0.500 0.500 0.339 x1
Cu: 0.000 0.000 0.522 x1
Si: 0.500 0.500 0.841 x1

***

First-principles (GGA-PBE) data for a relaxed Zr3Cu2Si4 crystal, as listed in the Alexandria database.

Values from the calculation:
crystal system = monoclinic
raw formation energy = -0.642 eV per atom

abc: 10.046 3.904 7.810
angles: 90.00 109.67 90.00
Space group C2/m (No. 12)
Inequivalent atoms, fractional coordinates:
Zr: 0.000 0.000 0.000 x2
Zr: 0.122 0.500 0.697 x4
Cu: 0.177 0.500 0.338 x4
Si: 0.087 0.000 0.413 x4
Si: 0.218 0.500 0.066 x4

***

First-principles (GGA-PBE) data for a relaxed Zr4CuSi crystal, as listed in the Alexandria database.

Values from the calculation:
crystal system = tetragonal
raw formation energy = -0.420 eV per atom
ΔE to the lowest computed polymorph = 0 meV per atom

abc: 6.684 6.684 5.230
angles: 90.00 90.00 90.00
Space group P4/mcc (No. 124)
Inequivalent atoms, fractional coordinates:
Zr: 0.154 0.343 0.000 x8
Cu: 0.500 0.500 0.250 x2
Si: 0.000 0.000 0.250 x2

***

First-principles (GGA-PBE) data for a relaxed ZrCuSi2 crystal, as listed in the Alexandria database.

Values from the calculation:
crystal system = orthorhombic
raw formation energy = -0.211 eV per atom

abc: 2.941 3.580 5.903
angles: 90.00 90.00 90.00
Space group Pmmm (No. 47)
Inequivalent atoms, fractional coordinates:
Zr: 0.000 0.000 0.000 x1
Cu: 0.000 0.000 0.500 x1
Si: 0.500 0.500 0.293 x2

***

First-principles (GGA-PBE) data for a relaxed Zr2CuSi4 crystal, as listed in the Alexandria database.

Values from the calculation:
crystal system = orthorhombic
raw formation energy = -0.583 eV per atom

abc: 3.726 32.731 3.710
angles: 90.00 90.00 90.00
Space group Cmcm (No. 63)
Inequivalent atoms, fractional coordinates:
Zr: 0.000 0.046 0.250 x4
Zr: 0.000 0.324 0.250 x4
Cu: 0.000 0.250 0.750 x4
Si: 0.000 0.112 0.750 x4
Si: 0.000 0.204 0.250 x4
Si: 0.000 0.388 0.750 x4
Si: 0.000 0.476 0.250 x4

***

First-principles (GGA-PBE) data for a relaxed ZrCuSi2 crystal, as listed in the Alexandria database.

Values from the calculation:
crystal system = orthorhombic
raw formation energy = -0.367 eV per atom

abc: 3.688 3.697 9.150
angles: 90.00 90.00 90.00
Space group Imm2 (No. 44)
Inequivalent atoms, fractional coordinates:
Zr: 0.000 0.000 0.000 x2
Cu: 0.000 0.500 0.749 x2
Si: 0.000 0.000 0.436 x2
Si: 0.000 0.500 0.236 x2

***

First-principles (GGA-PBE) data for a relaxed ZrCuSi2 crystal, as listed in the Alexandria database.

Values from the calculation:
crystal system = tetragonal
raw formation energy = -0.016 eV per atom

abc: 4.186 4.186 16.285
angles: 90.00 90.00 90.00
Space group I-42d (No. 122)
Inequivalent atoms, fractional coordinates:
Zr: 0.000 0.000 0.000 x4
Cu: 0.000 0.000 0.500 x4
Si: 0.155 0.250 0.625 x8

***

First-principles (GGA-PBE) data for a relaxed ZrCuSi2 crystal, as listed in the Alexandria database.

Values from the calculation:
crystal system = monoclinic
raw formation energy = -0.303 eV per atom

abc: 6.931 3.974 5.091
angles: 90.00 117.01 90.00
Space group C2/m (No. 12)
Inequivalent atoms, fractional coordinates:
Zr: 0.000 0.000 0.000 x2
Cu: 0.000 0.500 0.500 x2
Si: 0.216 0.000 0.648 x4

***

First-principles (GGA-PBE) data for a relaxed ZrCu2Si4 crystal, as listed in the Alexandria database.

Values from the calculation:
crystal system = tetragonal
raw formation energy = 0.735 eV per atom

abc: 5.020 5.020 11.988
angles: 90.00 90.00 90.00
Space group I4/mmm (No. 139)
Inequivalent atoms, fractional coordinates:
Zr: 0.000 0.000 0.000 x2
Cu: 0.000 0.000 0.400 x4
Si: 0.000 0.000 0.212 x4
Si: 0.000 0.500 0.000 x4

***

First-principles (GGA-PBE) data for a relaxed ZrCuSi2 crystal, as listed in the Alexandria database.

Values from the calculation:
crystal system = orthorhombic
raw formation energy = -0.278 eV per atom

abc: 2.927 4.311 4.949
angles: 90.00 90.00 90.00
Space group Pmm2 (No. 25)
Inequivalent atoms, fractional coordinates:
Zr: 0.000 0.000 0.000 x1
Cu: 0.500 0.500 0.734 x1
Si: 0.500 0.000 0.503 x1
Si: 0.500 0.500 0.233 x1

***

First-principles (GGA-PBE) data for a relaxed ZrCuSi2 crystal, as listed in the Alexandria database.

Values from the calculation:
crystal system = tetragonal
raw formation energy = -0.531 eV per atom

abc: 3.706 3.706 9.117
angles: 90.00 90.00 90.00
Space group P4/nmm (No. 129, origin choice 2)
Inequivalent atoms, fractional coordinates:
Zr: 0.250 0.250 0.234 x2
Cu: 0.250 0.750 0.500 x2
Si: 0.250 0.250 0.671 x2
Si: 0.250 0.750 0.000 x2

***

First-principles (GGA-PBE) data for a relaxed ZrCuSi2 crystal, as listed in the Alexandria database.

Values from the calculation:
crystal system = cubic
raw formation energy = 0.058 eV per atom

abc: 6.352 6.352 6.352
angles: 90.00 90.00 90.00
Space group Fm-3m (No. 225)
Inequivalent atoms, fractional coordinates:
Zr: 0.000 0.000 0.000 x4
Cu: 0.000 0.000 0.500 x4
Si: 0.250 0.250 0.250 x8

***

First-principles (GGA-PBE) data for a relaxed Zr4CuSi2 crystal, as listed in the Alexandria database.

Values from the calculation:
crystal system = tetragonal
raw formation energy = 0.171 eV per atom

abc: 4.634 4.634 14.461
angles: 90.00 90.00 90.00
Space group I4/mmm (No. 139)
Inequivalent atoms, fractional coordinates:
Zr: 0.000 0.000 0.179 x4
Zr: 0.000 0.500 0.000 x4
Cu: 0.000 0.000 0.000 x2
Si: 0.000 0.000 0.367 x4

***

First-principles (GGA-PBE) data for a relaxed Zr2CuSi crystal, as listed in the Alexandria database.

Values from the calculation:
crystal system = tetragonal
raw formation energy = -0.308 eV per atom

abc: 3.000 3.000 7.776
angles: 90.00 90.00 90.00
Space group P4/mmm (No. 123)
Inequivalent atoms, fractional coordinates:
Zr: 0.000 0.000 0.247 x2
Cu: 0.500 0.500 0.500 x1
Si: 0.500 0.500 0.000 x1

***

First-principles (GGA-PBE) data for a relaxed Zr2CuSi crystal, as listed in the Alexandria database.

Values from the calculation:
crystal system = tetragonal
raw formation energy = -0.324 eV per atom

abc: 3.916 3.916 9.286
angles: 90.00 90.00 90.00
Space group I-4m2 (No. 119)
Inequivalent atoms, fractional coordinates:
Zr: 0.000 0.000 0.000 x2
Zr: 0.000 0.500 0.250 x2
Cu: 0.000 0.500 0.750 x2
Si: 0.000 0.000 0.500 x2

***

First-principles (GGA-PBE) data for a relaxed Zr3Cu4Si6 crystal, as listed in the Alexandria database.

Values from the calculation:
crystal system = tetragonal
raw formation energy = -0.522 eV per atom

abc: 3.734 3.734 28.311
angles: 90.00 90.00 90.00
Space group I4/mmm (No. 139)
Inequivalent atoms, fractional coordinates:
Zr: 0.000 0.000 0.000 x2
Zr: 0.000 0.000 0.325 x4
Cu: 0.000 0.500 0.090 x8
Si: 0.000 0.000 0.146 x4
Si: 0.000 0.000 0.459 x4
Si: 0.000 0.500 0.250 x4

***

First-principles (GGA-PBE) data for a relaxed Zr2CuSi crystal, as listed in the Alexandria database.

Values from the calculation:
crystal system = trigonal
raw formation energy = -0.232 eV per atom

abc: 3.7727 3.7727 19.2555
angles: 90.00 90.00 120.00
Space group R-3m (No. 166, hexagonal axes)
Inequivalent atoms, fractional coordinates:
Zr: 0.0000 0.0000 0.2454 x6
Cu: 0.0000 0.0000 0.0000 x3
Si: 0.0000 0.0000 0.5000 x3

***

First-principles (GGA-PBE) data for a relaxed ZrCuSi2 crystal, as listed in the Alexandria database.

Values from the calculation:
crystal system = trigonal
raw formation energy = 0.010 eV per atom

abc: 2.9379 2.9379 25.6737
angles: 90.00 90.00 120.00
Space group R-3m (No. 166, hexagonal axes)
Inequivalent atoms, fractional coordinates:
Zr: 0.0000 0.0000 0.0000 x3
Cu: 0.0000 0.0000 0.5000 x3
Si: 0.0000 0.0000 0.2412 x6

***

First-principles (GGA-PBE) data for a relaxed SmCu crystal, as listed in the Alexandria database.

Values from the calculation:
crystal system = cubic
formation energy from the elements = 0.1 eV/f.u.

abc: 5.878 5.878 5.878
angles: 90.00 90.00 90.00
Space group Fm-3m (No. 225)
Inequivalent atoms, fractional coordinates:
Sm: 0.000 0.000 0.000 x4
Cu: 0.000 0.000 0.500 x4

***

Number 1: spin magnetization 0.0 μB per cell, D(E_F) 6.0 states/eV per cell. Number 2: spin magnetization 0.0 μB per cell, D(E_F) 3.0 states/eV per cell. Number 3: spin magnetization 0.0 μB per cell, D(E_F) 3.7 states/eV per cell. Number 4: spin magnetization 0.0 μB per cell, D(E_F) 12.1 states/eV per cell. Number 5: spin magnetization 0.0 μB per cell, D(E_F) 1.7 states/eV per cell. Number 6: spin magnetization 0.0 μB per cell, D(E_F) 8.4 states/eV per cell. Number 7: spin magnetization 0.0 μB per cell, D(E_F) 3.7 states/eV per cell. Number 8: spin magnetization 0.0 μB per cell, D(E_F) 16.0 states/eV per cell. Number 9: spin magnetization 0.0 μB per cell, D(E_F) 2.4 states/eV per cell. Number 10: spin magnetization 0.0 μB per cell, D(E_F) 7.0 states/eV per cell. Number 11: spin magnetization 0.0 μB per cell, D(E_F) 1.9 states/eV per cell. Number 12: spin magnetization 0.0 μB per cell, D(E_F) 3.2 states/eV per cell. Number 13: spin magnetization 0.0 μB per cell, D(E_F) 18.4 states/eV per cell. Number 14: spin magnetization 0.0 μB per cell, D(E_F) 13.8 states/eV per cell. Number 15: spin magnetization 0.0 μB per cell, D(E_F) 3.1 states/eV per cell. Number 16: spin magnetization 0.0 μB per cell, D(E_F) 8.4 states/eV per cell. Number 17: spin magnetization 0.0 μB per cell, D(E_F) 6.8 states/eV per cell. Number 18: spin magnetization 0.0 μB per cell, D(E_F) 11.0 states/eV per cell. Number 19: spin magnetization 0.0 μB per cell, D(E_F) 6.9 states/eV per cell. Number 20: spin magnetization 0.0 μB per cell, D(E_F) 11.2 states/eV per cell.